(1)
A geometry-optimized RbReSe2N structure, computed with GGA-PBEsol.

Calculated values
Volume, A^3/atom: 26.11
ρ, kg/m³: 5641
SG: P4/mmm (123)
M_tot, μB per atom: 0.5261
Raw formation energy, kJ per mole of atoms: 271.8
DFT total energy, eV per atom: -3.300

a = 4.194 Å, b = 5.580 Å, c = 5.580 Å
α = 90.00°, β = 90.00°, γ = 90.00°
Each line ends with the local moment (μB).
Sites, in units of the cell vectors:
Re: 0.500 0.500 0.500  -3.83
Se: 0.000 0.000 0.500  0.21
Se: 0.000 0.500 0.000  0.21
Rb: 0.000 0.000 0.000  0.05
N: 0.500 0.000 0.000  0.94

---

(2)
A geometry-optimized Ni2Ag2Ru structure, computed with GGA-PBEsol.

Calculated values
Volume, A^3/atom: 14.93
ρ, kg/m³: 9655
SG: I4/mmm (139)
M_tot, μB per atom: 0.6745
DFT total energy, eV per atom: -4.965
Energy relative to the elements, meV per atom: 857

a = 3.579 Å, b = 3.579 Å, c = 6.356 Å
α = 106.35°, β = 106.35°, γ = 90.00°
Each line ends with the local moment (μB).
Sites, in units of the cell vectors:
Ru: 0.000 0.000 0.000  1.90
Ag: 0.250 0.750 0.500  0.02
Ag: 0.750 0.250 0.500  0.02
Ni: 0.407 0.407 0.814  0.70
Ni: 0.593 0.593 0.186  0.70

---

(3)
A geometry-optimized Rb2LaNb5O15 structure, computed with GGA-PBEsol.

Calculated values
Volume, A^3/atom: 13.92
ρ, kg/m³: 5261
SG: P4/mbm (127)
M_tot, μB per atom: 0.0000
Raw formation energy, kJ per mole of atoms: -256.4
DFT total energy, eV per atom: -8.755

a = 3.947 Å, b = 12.738 Å, c = 12.738 Å
α = 90.00°, β = 90.00°, γ = 90.00°
Sites, in units of the cell vectors:
Rb: 0.500 0.672 0.172
Rb: 0.500 0.328 0.828
Rb: 0.500 0.172 0.328
Rb: 0.500 0.828 0.672
La: 0.500 0.000 0.000
La: 0.500 0.500 0.500
Nb: 0.000 0.500 0.000
Nb: 0.000 0.000 0.500
Nb: 0.000 0.214 0.075
Nb: 0.000 0.786 0.925
Nb: 0.000 0.075 0.786
Nb: 0.000 0.714 0.425
Nb: 0.000 0.925 0.214
Nb: 0.000 0.286 0.575
Nb: 0.000 0.575 0.714
Nb: 0.000 0.425 0.286
O: 0.500 0.190 0.078
O: 0.500 0.810 0.922
O: 0.500 0.078 0.810
O: 0.500 0.690 0.422
O: 0.500 0.922 0.190
O: 0.500 0.310 0.578
O: 0.500 0.578 0.690
O: 0.500 0.422 0.310
O: 0.000 0.213 0.713
O: 0.000 0.787 0.287
O: 0.000 0.713 0.787
O: 0.000 0.287 0.213
O: 0.500 0.500 0.000
O: 0.500 0.000 0.500
O: 0.000 0.061 0.133
O: 0.000 0.939 0.867
O: 0.000 0.133 0.939
O: 0.000 0.561 0.367
O: 0.000 0.867 0.061
O: 0.000 0.439 0.633
O: 0.000 0.633 0.561
O: 0.000 0.367 0.439
O: 0.000 0.343 0.000
O: 0.000 0.657 0.000
O: 0.000 0.000 0.657
O: 0.000 0.843 0.500
O: 0.000 0.000 0.343
O: 0.000 0.157 0.500
O: 0.000 0.500 0.843
O: 0.000 0.500 0.157

---

(4)
A geometry-optimized Sr2ScSi structure, computed with GGA-PBEsol.

Calculated values
Volume, A^3/atom: 30.84
ρ, kg/m³: 3342
SG: Imm2 (44)
M_tot, μB per atom: 0.0004
Raw formation energy, kJ per mole of atoms: -10.4
DFT total energy, eV per atom: -4.116

a = 3.951 Å, b = 5.424 Å, c = 6.664 Å
α = 114.02°, β = 107.24°, γ = 90.00°
Sites, in units of the cell vectors:
Sc: 0.568 0.568 0.137
Si: 0.224 0.724 0.447
Sr: 0.952 0.952 0.905
Sr: 0.756 0.256 0.511

---

(5)
A geometry-optimized CoReSb2 structure, computed with GGA-PBEsol.

Calculated values
Volume, A^3/atom: 16.97
ρ, kg/m³: 11956
SG: C2/m (12)
M_tot, μB per atom: 0.0067
Raw formation energy, kJ per mole of atoms: 48.3
Excess energy over the best structure of this formula in the dataset, kJ/mol of formula units: 38.7
DFT total energy, eV per atom: -7.045

a = 3.176 Å, b = 4.423 Å, c = 5.326 Å
α = 102.73°, β = 90.00°, γ = 111.04°
Sites, in units of the cell vectors:
Co: 0.000 0.000 0.500
Re: 0.500 0.000 0.000
Sb: 0.747 0.493 0.746
Sb: 0.253 0.507 0.254

---

(6)
A geometry-optimized ZrTaMn structure, computed with GGA-PBEsol.

Calculated values
Volume, A^3/atom: 16.26
ρ, kg/m³: 11133
SG: I4mm (107)
M_tot, μB per atom: 0.0000
Excess energy over the best structure of this formula in the dataset, kJ/mol of formula units: 0.0
DFT total energy, eV per atom: -10.513
Energy relative to the elements, meV per atom: -46

a = 3.113 Å, b = 3.113 Å, c = 5.496 Å
α = 106.45°, β = 106.45°, γ = 90.00°
Sites, in units of the cell vectors:
Mn: 0.011 0.011 0.021
Ta: 0.646 0.646 0.292
Zr: 0.343 0.343 0.686

---

(7)
A geometry-optimized MgCrHg2 structure, computed with GGA-PBEsol.

Calculated values
Volume, A^3/atom: 19.64
ρ, kg/m³: 10095
SG: C2/m (12)
M_tot, μB per atom: 0.9554
DFT total energy, eV per atom: -3.072
Energy relative to the elements, meV per atom: 201

a = 3.196 Å, b = 4.821 Å, c = 5.512 Å
α = 100.82°, β = 90.00°, γ = 109.36°
Each line ends with the local moment (μB).
Sites, in units of the cell vectors:
Cr: 0.000 0.000 0.500  3.54
Hg: 0.746 0.491 0.740  0.00
Hg: 0.254 0.509 0.260  0.00
Mg: 0.500 0.000 0.000  -0.02

---

(8)
A geometry-optimized MgTa2P structure, computed with GGA-PBEsol.

Calculated values
Volume, A^3/atom: 16.55
ρ, kg/m³: 10461
SG: P4mm (99)
M_tot, μB per atom: 0.0000
Excess energy over the best structure of this formula in the dataset, kJ/mol of formula units: 0.0
DFT total energy, eV per atom: -8.232
Energy relative to the elements, meV per atom: -79

a = 3.371 Å, b = 3.371 Å, c = 5.828 Å
α = 90.00°, β = 90.00°, γ = 90.00°
Sites, in units of the cell vectors:
Mg: 0.000 0.000 0.511
P: 0.500 0.500 0.764
Ta: 0.000 0.000 0.991
Ta: 0.500 0.500 0.234

---

(9)
A geometry-optimized Li3Co2Si2O8 structure, computed with GGA-PBEsol.

Calculated values
Volume, A^3/atom: 11.62
ρ, kg/m³: 3076
SG: C2 (5)
M_tot, μB per atom: 0.4667
Raw formation energy, kJ per mole of atoms: -186.1
Excess energy over the best structure of this formula in the dataset, kJ/mol of formula units: 71.5
DFT total energy, eV per atom: -6.919

a = 5.138 Å, b = 5.138 Å, c = 6.615 Å
α = 87.85°, β = 87.85°, γ = 88.14°
Each line ends with the local moment (μB).
Sites, in units of the cell vectors:
Li: 0.569 0.096 0.936  0.00
Li: 0.904 0.431 0.064  0.00
Li: 0.139 0.861 0.000  0.00
Co: 0.814 0.186 0.500  2.70
Co: 0.199 0.801 0.500  2.73
Si: 0.333 0.324 0.250  0.01
Si: 0.676 0.667 0.750  0.01
O: 0.188 0.172 0.450  0.25
O: 0.651 0.280 0.259  0.13
O: 0.231 0.209 0.046  0.03
O: 0.720 0.349 0.741  0.13
O: 0.238 0.632 0.258  0.15
O: 0.791 0.769 0.954  0.03
O: 0.368 0.762 0.742  0.15
O: 0.828 0.812 0.550  0.25

---

(10)
A geometry-optimized TaCuNi2 structure, computed with GGA-PBEsol.

Calculated values
Volume, A^3/atom: 12.21
ρ, kg/m³: 12307
SG: I4/mmm (139)
M_tot, μB per atom: 0.0000
DFT total energy, eV per atom: -7.513
Energy relative to the elements, meV per atom: -213

a = 3.695 Å, b = 3.695 Å, c = 4.429 Å
α = 114.65°, β = 114.65°, γ = 90.00°
Sites, in units of the cell vectors:
Ni: 0.750 0.250 0.500
Ni: 0.250 0.750 0.500
Cu: 0.500 0.500 0.000
Ta: 0.000 0.000 0.000

---

(11)
A geometry-optimized Zn2AgIr structure, computed with GGA-PBEsol.

Calculated values
Volume, A^3/atom: 14.10
ρ, kg/m³: 12688
SG: I4/mmm (139)
M_tot, μB per atom: 0.0000
DFT total energy, eV per atom: -4.184
Energy relative to the elements, meV per atom: -109

a = 4.094 Å, b = 4.438 Å, c = 4.094 Å
α = 117.47°, β = 90.00°, γ = 117.47°
Sites, in units of the cell vectors:
Zn: 0.750 0.500 0.250
Zn: 0.250 0.500 0.750
Ir: 0.000 0.000 0.000
Ag: 0.500 0.000 0.500

---

(12)
A geometry-optimized LiCa2Br structure, computed with GGA-PBEsol.

Calculated values
Volume, A^3/atom: 30.92
ρ, kg/m³: 2242
SG: P4mm (99)
M_tot, μB per atom: 0.0000
Raw formation energy, kJ per mole of atoms: -58.0
Excess energy over the best structure of this formula in the dataset, kJ/mol of formula units: 0.0
DFT total energy, eV per atom: -2.627

a = 3.620 Å, b = 3.620 Å, c = 9.435 Å
α = 90.00°, β = 90.00°, γ = 90.00°
Sites, in units of the cell vectors:
Br: 0.500 0.500 0.760
Ca: 0.000 0.000 0.949
Ca: 0.500 0.500 0.263
Li: 0.000 0.000 0.528

---

(13)
A geometry-optimized Cu15Si4 structure, computed with GGA-PBEsol.

Calculated values
Volume, A^3/atom: 11.54
ρ, kg/m³: 8072
SG: I-43d (220)
M_tot, μB per atom: 0.0000
Raw formation energy, kJ per mole of atoms: -11.0
DFT total energy, eV per atom: -4.746

a = 8.289 Å, b = 8.289 Å, c = 8.289 Å
α = 109.47°, β = 109.47°, γ = 109.47°
Sites, in units of the cell vectors:
Cu: 0.625 0.250 0.875
Cu: 0.875 0.750 0.625
Cu: 0.375 0.625 0.750
Cu: 0.125 0.875 0.250
Cu: 0.750 0.125 0.375
Cu: 0.250 0.375 0.125
Cu: 0.725 0.798 0.849
Cu: 0.775 0.624 0.073
Cu: 0.449 0.876 0.651
Cu: 0.051 0.702 0.427
Cu: 0.927 0.051 0.202
Cu: 0.151 0.449 0.376
Cu: 0.573 0.775 0.124
Cu: 0.349 0.725 0.298
Cu: 0.876 0.151 0.949
Cu: 0.702 0.927 0.551
Cu: 0.798 0.349 0.225
Cu: 0.624 0.573 0.275
Cu: 0.225 0.849 0.798
Cu: 0.275 0.073 0.624
Cu: 0.949 0.651 0.876
Cu: 0.551 0.427 0.702
Cu: 0.427 0.202 0.051
Cu: 0.651 0.376 0.449
Cu: 0.073 0.124 0.775
Cu: 0.849 0.298 0.725
Cu: 0.376 0.949 0.151
Cu: 0.202 0.551 0.927
Cu: 0.298 0.225 0.349
Cu: 0.124 0.275 0.573
Si: 0.589 0.000 0.000
Si: 0.911 0.911 0.411
Si: 0.500 0.589 0.500
Si: 0.000 0.500 0.089
Si: 0.089 0.000 0.000
Si: 0.411 0.411 0.911
Si: 0.000 0.500 0.589
Si: 0.500 0.089 0.500